Material: LiNd4Rh
Method: DFT, PBE-GGA
State: optimized geometry

abc: 7.8545 7.8545 6.2799
angles: 99.08 99.08 109.19
Atoms (fractional coordinates):
Li: 0.1173 0.8827 0.7500
Li: 0.8827 0.1173 0.2500
Nd: 0.1244 0.3066 0.8990
Nd: 0.2192 0.5675 0.4577
Nd: 0.3066 0.1244 0.3990
Nd: 0.4325 0.7808 0.0423
Nd: 0.5675 0.2192 0.9577
Nd: 0.6934 0.8756 0.6010
Nd: 0.7808 0.4325 0.5423
Nd: 0.8756 0.6934 0.1010
Rh: 0.4989 0.5011 0.7500
Rh: 0.5011 0.4989 0.2500

Results
energy of formation: -172 meV/atom
excess energy over the best structure of this formula in the dataset: 104 meV/atom
density of states at the Fermi level: 8.311 states/eV/f.u.
calculated total energy: -4.8949 eV/atom

Material: Zr2Zn2S
Method: DFT, PBE-GGA
State: optimized geometry

abc: 6.7376 6.7376 4.3578
angles: 90.00 90.00 90.00
Atoms (fractional coordinates):
Zr: 0.1667 0.3333 0.0000
Zr: 0.3333 0.8333 0.0000
Zr: 0.6667 0.1667 0.0000
Zr: 0.8333 0.6667 0.0000
Zn: 0.1352 0.6352 0.5000
Zn: 0.3648 0.1352 0.5000
Zn: 0.6352 0.8648 0.5000
Zn: 0.8648 0.3648 0.5000
S: 0.0000 0.0000 0.0000
S: 0.5000 0.5000 0.0000

Results
excess energy over the best structure of this formula in the dataset: 0 meV/atom
density of states at the Fermi level: 1.627 states/eV/f.u.
formation energy from raw total energies: -0.590 eV per atom
calculated total energy: -5.3446 eV/atom

Material: VSiTc2Te
Method: DFT, PBE-GGA
State: optimized geometry

abc: 4.5822 4.5822 4.4858
angles: 90.00 90.00 90.00
Atoms (fractional coordinates):
V: 0.0000 0.0000 0.0000
Si: 0.0000 0.0000 0.5000
Tc: 0.0000 0.5000 0.0000
Tc: 0.5000 0.0000 0.0000
Te: 0.5000 0.5000 0.5000

Results
density of states at the Fermi level: 4.978 states/eV/f.u.
formation energy from raw total energies: 0.980 eV per atom
calculated total energy: -6.7027 eV/atom

Material: CrTeAu2
Method: DFT, PBE-GGA
State: optimized geometry

abc: 4.0045 4.0045 7.0197
angles: 90.19 90.19 57.16
Atoms (fractional coordinates):
Cr: 0.0000 0.0000 0.0000
Te: 0.6730 0.6730 0.8004
Au: 0.3237 0.3237 0.1988
Au: 0.6441 0.6441 0.4202

Results
density of states at the Fermi level: 1.689 states/eV/f.u.
formation energy from raw total energies: 0.126 eV per atom
calculated total energy: -4.7038 eV/atom